Record 1
TiZnRuAu GGA-PBE relaxed; symmetry = F-43m (216); energy of formation from the pure elements = -286 meV per atom
1.0
0.000 3.128 3.128
3.128 0.000 3.128
3.128 3.128 0.000
Ti Zn Ru Au
1 1 1 1
Cartesian
0.000 0.000 0.000
3.128 3.128 3.128
1.564 1.564 1.564
4.692 4.692 4.692

---

Record 2
MgHg2C GGA-PBE relaxed; symmetry = Fd-3m (227); energy of formation from the pure elements = 920 meV per atom
1.0
0.000 4.908 4.908
4.908 0.000 4.908
4.908 4.908 0.000
Mg Hg C
2 4 2
Cartesian
1.227 1.227 1.227
8.589 8.589 8.589
4.908 2.454 2.454
2.454 4.908 2.454
2.454 2.454 4.908
4.908 4.908 4.908
3.681 3.681 3.681
6.135 6.135 6.135

---

Record 3
LaMnTc GGA-PBE relaxed; symmetry = F-43m (216); energy of formation from the pure elements = 582 meV per atom
1.0
0.000 3.220 3.220
3.220 0.000 3.220
3.220 3.220 0.000
La Mn Tc
1 1 1
Cartesian
0.000 0.000 0.000
3.220 3.220 3.220
4.830 4.830 4.830

---

Record 4
Cu3Ni GGA-PBE relaxed; symmetry = Cmmm (65); energy of formation from the pure elements = 8 meV per atom
1.0
2.543 -3.577 0.000
2.543 3.577 0.000
0.000 0.000 2.548
Cu Ni
3 1
Cartesian
0.000 0.000 0.000
1.271 1.789 1.274
1.271 -1.789 1.274
2.543 0.000 0.000